Cd3PBr2 (PBE-GGA, optimized geometry); symmetry = Cmc2_1 (36); E_form (uncorrected) = -1.75 eV/f.u.; crystal system = orthorhombic; calculated total energy = -2.21 eV per atom; M_tot = 0.000 μB/f.u.
1.0
7.400 0.000 0.000
0.000 8.062 -0.240
0.000 -4.159 6.911
Cd P Br
6 2 4
Direct
0.953 0.819 0.515 Cd
0.453 0.485 0.181 Cd
0.953 0.515 0.819 Cd
0.453 0.181 0.485 Cd
0.379 0.921 0.921 Cd
0.879 0.079 0.079 Cd
0.063 0.808 0.808 P
0.563 0.192 0.192 P
0.555 0.861 0.527 Br
0.055 0.473 0.139 Br
0.555 0.527 0.861 Br
0.055 0.139 0.473 Br

CdP2Br (PBE-GGA, optimized geometry); E above lowest polymorph = 2.96 eV per formula unit; symmetry = Pmmm (47); E_form (uncorrected) = 2.57 eV/f.u.; crystal system = orthorhombic; calculated total energy = -2.71 eV per atom; M_tot = 0.000 μB/f.u.
1.0
3.241 0.000 0.000
0.000 5.269 0.000
0.000 0.000 4.694
Br Cd P
1 1 2
Direct
0.500 0.000 0.500 Br
0.000 0.500 0.500 Cd
0.000 0.000 0.000 P
0.500 0.500 0.000 P

Cd2PBr (PBE-GGA, optimized geometry); E above lowest polymorph = 3.30 eV per formula unit; symmetry = F-43m (216); E_form (uncorrected) = 1.79 eV/f.u.; crystal system = cubic; calculated total energy = -1.78 eV per atom; M_tot = 0.000 μB/f.u.
1.0
5.035 0.000 0.000
2.518 4.361 0.000
2.518 1.454 4.111
Br Cd P
1 2 1
Direct
0.500 0.500 0.500 Br
0.000 0.000 0.000 Cd
0.750 0.750 0.750 Cd
0.250 0.250 0.250 P

- Which formula does entry 1 have?
  Cd3PBr2